[1]
Crystalline Mg3ZnRh at its relaxed geometry, computed with PBE.

abc: 4.765 4.765 4.765
angles: 90.00 90.00 90.00
Atoms (fractional coordinates):
Zn (0.000, 0.000, 0.000)
Mg (0.000, 0.500, 0.000)
Mg (0.000, 0.000, 0.500)
Mg (0.500, 0.000, 0.000)
Rh (0.500, 0.500, 0.500)

Results
spin magnetization = 0.00 μB/f.u.
calculated formation energy = 2.58 eV per formula unit
total DFT energy (no corrections) = -10.83 eV for the cell shown



[2]
Crystalline ZnSnO3 at its relaxed geometry, computed with PBE.

abc: 5.686 5.686 5.686
angles: 56.44 56.44 56.44
Atoms (fractional coordinates):
Sn (0.150, 0.150, 0.150)
Sn (0.850, 0.850, 0.850)
O (0.554, 0.240, 0.950)
O (0.950, 0.554, 0.240)
O (0.760, 0.050, 0.446)
O (0.240, 0.950, 0.554)
O (0.446, 0.760, 0.050)
O (0.050, 0.446, 0.760)
Zn (0.365, 0.365, 0.365)
Zn (0.635, 0.635, 0.635)

Results
spin magnetization = 0.00 μB/f.u.
ΔE_f (raw) = -1504 meV/atom
total DFT energy (no corrections) = -55.35 eV for the cell shown



[3]
Crystalline Ag4TeBr2F at its relaxed geometry, computed with PBE.

abc: 8.043 8.043 7.514
angles: 117.82 117.82 90.21
Atoms (fractional coordinates):
Ag (0.754, 0.747, 0.982)
Ag (0.728, 0.280, 0.504)
Ag (0.246, 0.253, 0.018)
Ag (0.780, 0.228, 0.004)
Ag (0.753, 0.746, 0.518)
Ag (0.220, 0.772, 0.996)
Ag (0.272, 0.720, 0.496)
Ag (0.247, 0.254, 0.482)
Br (0.000, 0.000, 0.500)
Br (0.500, 0.500, 0.000)
Br (0.500, 0.000, 0.000)
Br (0.500, 0.000, 0.500)
F (0.000, 0.000, 0.000)
F (0.500, 0.500, 0.500)
Te (0.000, 0.500, 0.000)
Te (0.000, 0.500, 0.500)

Results
spin magnetization = 0.00 μB/f.u.
ΔE_f (raw) = -366 meV/atom
total DFT energy (no corrections) = -45.39 eV for the cell shown



[4]
Crystalline PrNdDy2In4 at its relaxed geometry, computed with PBE.

abc: 5.406 5.406 9.378
angles: 73.25 73.25 60.00
Atoms (fractional coordinates):
In (0.375, 0.375, 0.874)
In (0.125, 0.125, 0.624)
In (0.875, 0.875, 0.376)
In (0.625, 0.625, 0.126)
Dy (0.750, 0.750, 0.750)
Dy (0.250, 0.250, 0.250)
Pr (0.000, 0.000, 0.000)
Nd (0.500, 0.500, 0.500)

Results
spin magnetization = 0.00 μB/f.u.
calculated formation energy = -3.81 eV per formula unit
total DFT energy (no corrections) = -33.52 eV for the cell shown



[5]
Crystalline BaGa2Au9 at its relaxed geometry, computed with PBE.

abc: 3.793 8.697 8.697
angles: 120.00 90.00 90.00
Atoms (fractional coordinates):
Au (0.000, 0.500, 0.500)
Au (0.500, 0.193, 0.807)
Au (0.500, 0.387, 0.193)
Au (0.500, 0.613, 0.807)
Au (0.000, 0.500, 0.000)
Au (0.500, 0.193, 0.387)
Au (0.500, 0.807, 0.193)
Au (0.500, 0.807, 0.613)
Au (0.000, 0.000, 0.500)
Ga (0.000, 0.667, 0.333)
Ga (0.000, 0.333, 0.667)
Ba (0.000, 0.000, 0.000)

Results
spin magnetization = 0.00 μB/f.u.
calculated formation energy = -2.16 eV per formula unit
total DFT energy (no corrections) = -39.63 eV for the cell shown



[6]
Crystalline Mg2Zn3In at its relaxed geometry, computed with PBE.

abc: 3.199 4.367 9.172
angles: 103.77 100.04 90.00
Atoms (fractional coordinates):
Zn (0.306, 0.806, 0.613)
Zn (0.697, 0.697, 0.393)
Zn (0.555, 0.555, 0.110)
Mg (0.844, 0.344, 0.688)
Mg (0.137, 0.137, 0.274)
In (0.461, 0.961, 0.922)

Results
spin magnetization = 0.00 μB/f.u.
calculated formation energy = 0.11 eV per formula unit
total DFT energy (no corrections) = -9.64 eV for the cell shown



> What is the formula in the third record?

Ag4TeBr2F



> total DFT energy (no corrections) of number 4 (PrNdDy2In4)?

-33.52 eV for the cell shown



Repeat the second record exactly.
Crystalline ZnSnO3 at its relaxed geometry, computed with PBE.

abc: 5.686 5.686 5.686
angles: 56.44 56.44 56.44
Atoms (fractional coordinates):
Sn (0.150, 0.150, 0.150)
Sn (0.850, 0.850, 0.850)
O (0.554, 0.240, 0.950)
O (0.950, 0.554, 0.240)
O (0.760, 0.050, 0.446)
O (0.240, 0.950, 0.554)
O (0.446, 0.760, 0.050)
O (0.050, 0.446, 0.760)
Zn (0.365, 0.365, 0.365)
Zn (0.635, 0.635, 0.635)

Results
spin magnetization = 0.00 μB/f.u.
ΔE_f (raw) = -1504 meV/atom
total DFT energy (no corrections) = -55.35 eV for the cell shown



> Look up the spin magnetization of the second one.

0.00 μB/f.u.